(1)
Here is a relaxed structure of VCd2OsAu from Alexandria. Energies are from PBE.

abc: 5.0373 4.7258 5.0373
angles: 90.00 90.00 90.00
With the nearest neighbours (Å) after each atom.
Fractional positions:
Os 0.5000 0.5000 0.5000  8 Cd 3.45, 4 Au 3.56
V 0.0000 0.0000 0.0000  2 Au 2.36, 4 Cd 2.52
Au 0.0000 0.5000 0.0000  2 V 2.36
Cd 0.0000 0.0000 0.5000  2 V 2.52
Cd 0.5000 0.0000 0.0000  2 V 2.52

* symmetry: P4/mmm, No. 123
* crystal system: tetragonal
* calculated total energy: -3.198 eV/atom



(2)
Here is a relaxed structure of CdPAu2 from Alexandria. Energies are from PBE.

abc: 3.0761 3.0761 7.8276
angles: 90.00 90.00 90.00
With the nearest neighbours (Å) after each atom.
Fractional positions:
Au 0.0000 0.0000 0.9824  4 P 2.73, 4 Au 3.00
Au 0.5000 0.5000 0.2459  4 Cd 2.95, 8 Au 3.00-3.08
Cd 0.0000 0.0000 0.5005  4 Au 2.95, 4 P 3.04, 4 Cd 3.08
P 0.5000 0.5000 0.7712  4 Au 2.73, 4 Cd 3.04

* symmetry: P4mm, No. 99
* crystal system: tetragonal
* calculated total energy: -3.008 eV/atom



(3)
Here is a relaxed structure of CdPAu2 from Alexandria. Energies are from PBE.

abc: 8.0826 8.0826 8.0826
angles: 24.25 24.25 24.25
With the nearest neighbours (Å) after each atom.
Fractional positions:
Au 0.0083 0.0083 0.0083  3 P 2.49
Au 0.2536 0.2536 0.2536  3 Au 2.85, 3 Cd 2.86
Cd 0.4982 0.4982 0.4982  3 Au 2.86, 3 P 2.92
P 0.7399 0.7399 0.7399  3 Au 2.49

* symmetry: R3m, No. 160
* crystal system: trigonal
* calculated total energy: -3.070 eV/atom



(4)
Here is a relaxed structure of CdPAu2 from Alexandria. Energies are from PBE.

abc: 4.2494 2.9910 5.8911
angles: 89.98 90.00 90.00
With the nearest neighbours (Å) after each atom.
Fractional positions:
Au 0.0000 0.7498 0.0021  2 P 2.59
Au 0.0000 0.7502 0.4979  2 P 2.59
Cd 0.5000 0.2500 0.2500  8 Au 2.98, 2 Cd 2.99, 4 P 3.30
P 0.5000 0.7500 0.7500  4 Au 2.59

* symmetry: Pmmm, No. 47
* crystal system: orthorhombic
* calculated total energy: -3.094 eV/atom



(5)
Here is a relaxed structure of CdPAu2 from Alexandria. Energies are from PBE.

abc: 5.2486 5.2486 5.2486
angles: 134.15 134.15 66.85
With the nearest neighbours (Å) after each atom.
Fractional positions:
Au 0.0000 0.0000 0.0000  4 Au 2.89, 4 P 3.00, 4 Cd 3.00
Au 0.5000 0.5000 0.0000  4 Au 2.89, 4 Cd 3.00, 4 P 3.00
Cd 0.2500 0.7500 0.5000  4 P 2.89, 8 Au 3.00
P 0.7500 0.2500 0.5000  4 Cd 2.89, 8 Au 3.00

* symmetry: I4/mmm, No. 139
* crystal system: tetragonal
* calculated total energy: -3.037 eV/atom



(6)
Here is a relaxed structure of CdPAu2 from Alexandria. Energies are from PBE.

abc: 4.7187 4.7187 4.7187
angles: 60.00 60.00 60.00
With the nearest neighbours (Å) after each atom.
Fractional positions:
P 0.0000 0.0000 0.0000  8 Au 2.89
Au 0.2500 0.2500 0.2500  4 Cd 2.89, 4 P 2.89
Au 0.7500 0.7500 0.7500  4 Cd 2.89, 4 P 2.89
Cd 0.5000 0.5000 0.5000  8 Au 2.89

* symmetry: Fm-3m, No. 225
* crystal system: cubic
* calculated total energy: -2.945 eV/atom